DFT (PBE) results for an optimized crystal structure of CuBH8C8N4ClF4.

Output
Space group: P4/nbm (125)
ΔE to the lowest computed polymorph (eV per atom): 0.000
Uncorrected energy (eV/atom): -6.243

Unit cell a=9.6340 b=9.6340 c=5.5947 alpha=90.00 beta=90.00 gamma=90.00
Positions (direct):
Cu (0.2500, 0.2500, 0.0000)
Cu (0.7500, 0.7500, 0.0000)
B (0.2500, 0.7500, 0.5000)
B (0.7500, 0.2500, 0.5000)
H (0.0144, 0.1712, 0.3177)
H (0.0144, 0.3288, 0.6823)
H (0.1712, 0.0144, 0.6823)
H (0.1712, 0.4856, 0.3177)
H (0.3288, 0.0144, 0.3177)
H (0.3288, 0.4856, 0.6823)
H (0.4856, 0.1712, 0.6823)
H (0.4856, 0.3288, 0.3177)
H (0.5144, 0.6712, 0.6823)
H (0.5144, 0.8288, 0.3177)
H (0.6712, 0.5144, 0.3177)
H (0.6712, 0.9856, 0.6823)
H (0.8288, 0.5144, 0.6823)
H (0.8288, 0.9856, 0.3177)
H (0.9856, 0.6712, 0.3177)
H (0.9856, 0.8288, 0.6823)
C (0.0072, 0.0949, 0.1756)
C (0.0072, 0.4051, 0.8244)
C (0.0949, 0.0072, 0.8244)
C (0.0949, 0.4928, 0.1756)
C (0.4051, 0.0072, 0.1756)
C (0.4051, 0.4928, 0.8244)
C (0.4928, 0.0949, 0.8244)
C (0.4928, 0.4051, 0.1756)
C (0.5072, 0.5949, 0.8244)
C (0.5072, 0.9051, 0.1756)
C (0.5949, 0.5072, 0.1756)
C (0.5949, 0.9928, 0.8244)
C (0.9051, 0.5072, 0.8244)
C (0.9051, 0.9928, 0.1756)
C (0.9928, 0.5949, 0.1756)
C (0.9928, 0.9051, 0.8244)
N (0.1010, 0.1010, 0.0000)
N (0.1010, 0.3990, 0.0000)
N (0.3990, 0.1010, 0.0000)
N (0.3990, 0.3990, 0.0000)
N (0.6010, 0.6010, 0.0000)
N (0.6010, 0.8990, 0.0000)
N (0.8990, 0.6010, 0.0000)
N (0.8990, 0.8990, 0.0000)
Cl (0.2500, 0.2500, 0.5000)
Cl (0.7500, 0.7500, 0.5000)
F (0.1649, 0.6649, 0.6451)
F (0.1649, 0.8351, 0.3549)
F (0.3351, 0.6649, 0.3549)
F (0.3351, 0.8351, 0.6451)
F (0.6649, 0.1649, 0.3549)
F (0.6649, 0.3351, 0.6451)
F (0.8351, 0.1649, 0.6451)
F (0.8351, 0.3351, 0.3549)



DFT (PBE) results for an optimized crystal structure of RbLiPd.

Output
Space group: F-43m (216)
ΔE to the lowest computed polymorph (eV per atom): 0.353
Uncorrected energy (eV/atom): -2.132

Unit cell a=7.2740 b=7.2740 c=7.2740 alpha=90.00 beta=90.00 gamma=90.00
Positions (direct):
Rb (0.0000, 0.0000, 0.0000)
Rb (0.0000, 0.5000, 0.5000)
Rb (0.5000, 0.0000, 0.5000)
Rb (0.5000, 0.5000, 0.0000)
Li (0.2500, 0.2500, 0.7500)
Li (0.2500, 0.7500, 0.2500)
Li (0.7500, 0.2500, 0.2500)
Li (0.7500, 0.7500, 0.7500)
Pd (0.2500, 0.2500, 0.2500)
Pd (0.2500, 0.7500, 0.7500)
Pd (0.7500, 0.2500, 0.7500)
Pd (0.7500, 0.7500, 0.2500)



DFT (PBE) results for an optimized crystal structure of Rb2ZnO2.

Output
Space group: P2_1/c (14)
Uncorrected energy (eV/atom): -3.888

Unit cell a=9.5317 b=6.3134 c=15.9530 alpha=90.00 beta=119.33 gamma=90.00
Positions (direct):
Rb (0.0674, 0.0635, 0.1208)
Rb (0.0674, 0.4365, 0.6208)
Rb (0.1835, 0.5839, 0.2616)
Rb (0.1835, 0.9161, 0.7616)
Rb (0.3602, 0.6769, 0.5277)
Rb (0.3602, 0.8231, 0.0277)
Rb (0.4248, 0.1362, 0.6642)
Rb (0.4248, 0.3638, 0.1642)
Rb (0.5752, 0.6362, 0.8358)
Rb (0.5752, 0.8638, 0.3358)
Rb (0.6398, 0.1769, 0.9723)
Rb (0.6398, 0.3231, 0.4723)
Rb (0.8165, 0.0839, 0.2384)
Rb (0.8165, 0.4161, 0.7384)
Rb (0.9326, 0.5635, 0.3792)
Rb (0.9326, 0.9365, 0.8792)
Zn (0.0881, 0.0526, 0.4603)
Zn (0.0881, 0.4474, 0.9603)
Zn (0.2589, 0.1254, 0.3691)
Zn (0.2589, 0.3746, 0.8691)
Zn (0.7411, 0.6254, 0.1309)
Zn (0.7411, 0.8746, 0.6309)
Zn (0.9119, 0.5526, 0.0397)
Zn (0.9119, 0.9474, 0.5397)
O (0.1155, 0.6055, 0.8569)
O (0.1155, 0.8945, 0.3569)
O (0.1375, 0.6354, 0.0743)
O (0.1375, 0.8646, 0.5743)
O (0.2470, 0.2209, 0.9726)
O (0.2470, 0.2791, 0.4726)
O (0.3594, 0.1929, 0.2984)
O (0.3594, 0.3071, 0.7984)
O (0.6406, 0.6929, 0.2016)
O (0.6406, 0.8071, 0.7016)
O (0.7530, 0.7209, 0.5274)
O (0.7530, 0.7791, 0.0274)
O (0.8625, 0.1354, 0.4257)
O (0.8625, 0.3646, 0.9257)
O (0.8845, 0.1055, 0.6431)
O (0.8845, 0.3945, 0.1431)



DFT (PBE) results for an optimized crystal structure of AcYTm.

Output
Energy of formation (meV/atom): 852
Space group: F-43m (216)
ΔE to the lowest computed polymorph (eV per atom): 0.173
Uncorrected energy (eV/atom): -4.163

Unit cell a=7.9933 b=7.9933 c=7.9933 alpha=90.00 beta=90.00 gamma=90.00
Positions (direct):
Ac (0.0000, 0.0000, 0.0000)
Ac (0.0000, 0.5000, 0.5000)
Ac (0.5000, 0.0000, 0.5000)
Ac (0.5000, 0.5000, 0.0000)
Y (0.2500, 0.2500, 0.2500)
Y (0.2500, 0.7500, 0.7500)
Y (0.7500, 0.2500, 0.7500)
Y (0.7500, 0.7500, 0.2500)
Tm (0.2500, 0.2500, 0.7500)
Tm (0.2500, 0.7500, 0.2500)
Tm (0.7500, 0.2500, 0.2500)
Tm (0.7500, 0.7500, 0.7500)



DFT (PBE) results for an optimized crystal structure of BaCu3S4.

Output
Space group: Cmmm (65)
Uncorrected energy (eV/atom): -4.252

Unit cell a=6.6462 b=12.9827 c=4.3717 alpha=90.00 beta=90.00 gamma=90.00
Positions (direct):
Ba (0.0000, 0.0000, 0.0000)
Ba (0.5000, 0.5000, 0.0000)
Cu (0.0000, 0.2406, 0.5000)
Cu (0.0000, 0.5000, 0.5000)
Cu (0.0000, 0.7594, 0.5000)
Cu (0.5000, 0.0000, 0.5000)
Cu (0.5000, 0.2594, 0.5000)
Cu (0.5000, 0.7406, 0.5000)
S (0.2333, 0.3687, 0.5000)
S (0.2333, 0.6313, 0.5000)
S (0.2667, 0.1313, 0.5000)
S (0.2667, 0.8687, 0.5000)
S (0.7333, 0.1313, 0.5000)
S (0.7333, 0.8687, 0.5000)
S (0.7667, 0.3687, 0.5000)
S (0.7667, 0.6313, 0.5000)



DFT (PBE) results for an optimized crystal structure of TbCdAu2.

Output
Energy of formation (meV/atom): -363
Space group: Amm2 (38)
Uncorrected energy (eV/atom): -3.377

Unit cell a=4.7051 b=6.6826 c=11.2641 alpha=90.00 beta=90.00 gamma=90.00
Positions (direct):
Tb (0.0000, 0.2450, 0.0000)
Tb (0.0000, 0.2550, 0.5000)
Tb (0.0000, 0.7450, 0.5000)
Tb (0.0000, 0.7550, 0.0000)
Cd (0.0000, 0.0000, 0.2508)
Cd (0.0000, 0.5000, 0.7508)
Cd (0.5000, 0.0000, 0.6268)
Cd (0.5000, 0.5000, 0.1268)
Au (0.0000, 0.0000, 0.7635)
Au (0.0000, 0.5000, 0.2635)
Au (0.5000, 0.0000, 0.0960)
Au (0.5000, 0.2321, 0.3384)
Au (0.5000, 0.2679, 0.8384)
Au (0.5000, 0.5000, 0.5960)
Au (0.5000, 0.7321, 0.8384)
Au (0.5000, 0.7679, 0.3384)



DFT (PBE) results for an optimized crystal structure of CoSnWAu.

Output
Space group: F-43m (216)
ΔE to the lowest computed polymorph (eV per atom): 0.000
Uncorrected energy (eV/atom): -6.283

Unit cell a=6.4225 b=6.4225 c=6.4225 alpha=90.00 beta=90.00 gamma=90.00
Positions (direct):
Co (0.0000, 0.0000, 0.0000)
Co (0.0000, 0.5000, 0.5000)
Co (0.5000, 0.0000, 0.5000)
Co (0.5000, 0.5000, 0.0000)
Sn (0.2500, 0.2500, 0.7500)
Sn (0.2500, 0.7500, 0.2500)
Sn (0.7500, 0.2500, 0.2500)
Sn (0.7500, 0.7500, 0.7500)
W (0.0000, 0.0000, 0.5000)
W (0.0000, 0.5000, 0.0000)
W (0.5000, 0.0000, 0.0000)
W (0.5000, 0.5000, 0.5000)
Au (0.2500, 0.2500, 0.2500)
Au (0.2500, 0.7500, 0.7500)
Au (0.7500, 0.2500, 0.7500)
Au (0.7500, 0.7500, 0.2500)



DFT (PBE) results for an optimized crystal structure of Nb4InB3.

Output
Space group: P6_3/mmc (194)
Uncorrected energy (eV/atom): -8.373

Unit cell a=3.3010 b=3.3010 c=24.7396 alpha=90.00 beta=90.00 gamma=120.00
Positions (direct):
Nb (0.0000, 0.0000, 0.1543)
Nb (0.0000, 0.0000, 0.3457)
Nb (0.0000, 0.0000, 0.6543)
Nb (0.0000, 0.0000, 0.8457)
Nb (0.3333, 0.6667, 0.0515)
Nb (0.3333, 0.6667, 0.4485)
Nb (0.6667, 0.3333, 0.5515)
Nb (0.6667, 0.3333, 0.9485)
In (0.3333, 0.6667, 0.2500)
In (0.6667, 0.3333, 0.7500)
B (0.0000, 0.0000, 0.0000)
B (0.0000, 0.0000, 0.5000)
B (0.3333, 0.6667, 0.6075)
B (0.3333, 0.6667, 0.8925)
B (0.6667, 0.3333, 0.1075)
B (0.6667, 0.3333, 0.3925)